Record 1
Below is an optimized crystal structure of Sr2HgBi4Pd3, with properties calculated at the PBE-GGA level.

Calculated values
ΔE_f (kJ/mol of formula units): -484

a = 4.9034 Å, b = 4.9034 Å, c = 11.4658 Å
α = 90.00°, β = 90.00°, γ = 90.00°
With the nearest neighbours (Å) after each atom.
Fractional positions:
Sr (0.5000, 0.0000, 0.2543)  8 Bi 3.67-3.81, 6 Pd 3.73-3.78, 2 Hg 3.73
Sr (0.0000, 0.5000, 0.7457)  8 Bi 3.67-3.81, 2 Hg 3.73, 6 Pd 3.73-3.78
Hg (0.5000, 0.5000, 0.5000)  4 Bi 2.94
Pd (0.0000, 0.0000, 0.5000)  4 Bi 2.94
Pd (0.5000, 0.0000, 0.8769)  5 Bi 2.70-2.83
Pd (0.0000, 0.5000, 0.1231)  5 Bi 2.70-2.83
Bi (0.0000, 0.5000, 0.3586)  3 Pd 2.70-2.94, 2 Hg 2.94
Bi (0.0000, 0.0000, 0.0000)  4 Pd 2.83
Bi (0.5000, 0.0000, 0.6414)  3 Pd 2.70-2.94, 2 Hg 2.94
Bi (0.5000, 0.5000, 0.0000)  4 Pd 2.83

Record 2
Below is an optimized crystal structure of SrHgBi2Pd2, with properties calculated at the PBE-GGA level.

Calculated values
ΔE_f (kJ/mol of formula units): -114

a = 5.3832 Å, b = 5.3832 Å, c = 7.8222 Å
α = 110.13°, β = 110.13°, γ = 90.00°
With the nearest neighbours (Å) after each atom.
Fractional positions:
Pd (0.2949, 0.2949, 0.5898)  4 Bi 2.76, 1 Sr 2.80
Pd (0.7051, 0.7051, 0.4102)  4 Bi 2.76, 1 Sr 2.80
Hg (0.0000, 0.0000, 0.0000)  4 Sr 3.81, 2 Pd 4.03
Bi (0.7500, 0.2500, 0.5000)  4 Pd 2.76
Bi (0.2500, 0.7500, 0.5000)  4 Pd 2.76
Sr (0.5000, 0.5000, 0.0000)  2 Pd 2.80

Record 3
Below is an optimized crystal structure of HgBi2Te2Pd7, with properties calculated at the PBE-GGA level.

Calculated values
ΔE_f (raw) (eV per atom): -0.24

a = 4.1395 Å, b = 4.1395 Å, c = 15.1169 Å
α = 85.55°, β = 85.55°, γ = 89.99°
With the nearest neighbours (Å) after each atom.
Fractional positions:
Bi (0.8688, 0.8688, 0.4092)  5 Pd 2.79-2.93
Bi (0.1312, 0.1312, 0.5908)  5 Pd 2.79-2.93
Te (0.5685, 0.5685, 0.7580)  5 Pd 2.63-2.68
Te (0.4315, 0.4315, 0.2420)  5 Pd 2.63-2.68
Pd (0.9625, 0.4621, 0.1339)  2 Te 2.63, 6 Pd 2.89-2.93, 2 Hg 2.89
Pd (0.4621, 0.9625, 0.1339)  2 Te 2.63, 6 Pd 2.89-2.93, 2 Hg 2.89
Pd (0.6342, 0.6342, 0.5798)  1 Te 2.68, 5 Bi 2.79-2.93
Pd (0.5379, 0.0375, 0.8661)  2 Te 2.63, 6 Pd 2.89-2.93, 2 Hg 2.89
Pd (0.0375, 0.5379, 0.8661)  2 Te 2.63, 6 Pd 2.89-2.93, 2 Hg 2.89
Pd (0.5000, 0.5000, 0.0000)  8 Pd 2.89, 4 Hg 2.93
Pd (0.3658, 0.3658, 0.4202)  1 Te 2.68, 5 Bi 2.79-2.93
Hg (0.0000, 0.0000, 0.0000)  12 Pd 2.89-2.93

Record 4
Below is an optimized crystal structure of TiHgBi2Pd, with properties calculated at the PBE-GGA level.

Calculated values
ΔE_f (kJ/mol of formula units): 221

a = 5.3895 Å, b = 4.9158 Å, c = 5.3895 Å
α = 90.00°, β = 90.00°, γ = 90.00°
With the nearest neighbours (Å) after each atom.
Fractional positions:
Bi (0.5000, 0.0000, 0.0000)  2 Pd 2.69
Bi (0.0000, 0.0000, 0.5000)  2 Pd 2.69
Hg (0.5000, 0.5000, 0.5000)  8 Bi 3.65, 4 Ti 3.81
Ti (0.0000, 0.5000, 0.0000)  2 Pd 2.46
Pd (0.0000, 0.0000, 0.0000)  2 Ti 2.46, 4 Bi 2.69

Record 5
Below is an optimized crystal structure of TlHgBi2Pd4, with properties calculated at the PBE-GGA level.

Calculated values
ΔE_f (kJ/mol of formula units): -55

a = 8.0137 Å, b = 8.0151 Å, c = 8.9387 Å
α = 123.90°, β = 123.89°, γ = 89.85°
With the nearest neighbours (Å) after each atom.
Fractional positions:
Bi (0.5000, 0.5000, 0.0000)  6 Pd 2.89-2.91
Bi (0.0000, 0.0000, 0.5000)  6 Pd 2.89-2.91
Bi (0.5000, 0.0000, 0.0000)  6 Pd 2.82-2.88
Bi (0.5000, 0.0000, 0.5000)  6 Pd 2.82-2.88
Pd (0.7494, 0.7506, 0.9929)  2 Hg 2.79, 3 Bi 2.82-2.89, 1 Tl 2.84
Pd (0.2335, 0.7468, 0.9901)  1 Hg 2.76, 2 Tl 2.80, 3 Bi 2.88-2.91
Pd (0.7532, 0.2665, 0.5099)  1 Hg 2.76, 2 Tl 2.80, 3 Bi 2.88-2.91
Pd (0.7494, 0.7506, 0.5071)  2 Hg 2.79, 3 Bi 2.82-2.89, 1 Tl 2.84
Pd (0.2506, 0.2494, 0.4929)  2 Hg 2.79, 3 Bi 2.82-2.89, 1 Tl 2.84
Pd (0.7665, 0.2532, 0.0099)  1 Hg 2.76, 2 Tl 2.80, 3 Bi 2.88-2.91
Pd (0.2468, 0.7335, 0.4901)  1 Hg 2.76, 2 Tl 2.80, 3 Bi 2.88-2.91
Pd (0.2506, 0.2494, 0.0071)  2 Hg 2.79, 3 Bi 2.82-2.89, 1 Tl 2.84
Hg (0.5000, 0.5000, 0.5000)  6 Pd 2.76-2.79
Hg (0.0000, 0.0000, 0.0000)  6 Pd 2.76-2.79
Tl (0.0000, 0.5000, 0.5000)  6 Pd 2.80-2.84
Tl (0.0000, 0.5000, 0.0000)  6 Pd 2.80-2.84

Record 6
Below is an optimized crystal structure of Tl2HgBiPd, with properties calculated at the PBE-GGA level.

Calculated values
ΔE_f (kJ/mol of formula units): 19

a = 5.3734 Å, b = 5.3734 Å, c = 5.4595 Å
α = 90.00°, β = 90.00°, γ = 90.00°
With the nearest neighbours (Å) after each atom.
Fractional positions:
Tl (0.5000, 0.0000, 0.0000)  2 Pd 2.69
Tl (0.0000, 0.5000, 0.0000)  2 Pd 2.69
Hg (0.5000, 0.5000, 0.5000)  4 Bi 3.80, 8 Tl 3.83
Pd (0.0000, 0.0000, 0.0000)  4 Tl 2.69, 2 Bi 2.73
Bi (0.0000, 0.0000, 0.5000)  2 Pd 2.73

Record 7
Below is an optimized crystal structure of Tl2HgBi2Pd2, with properties calculated at the PBE-GGA level.

Calculated values
ΔE_f (kJ/mol of formula units): 33

a = 5.1422 Å, b = 5.1422 Å, c = 8.8171 Å
α = 106.95°, β = 106.95°, γ = 90.00°
With the nearest neighbours (Å) after each atom.
Fractional positions:
Bi (0.4024, 0.4024, 0.8049)  4 Pd 3.01, 1 Bi 3.14
Bi (0.5976, 0.5976, 0.1951)  4 Pd 3.01, 1 Bi 3.14
Tl (0.8110, 0.8110, 0.6220)  1 Hg 3.04
Tl (0.1890, 0.1890, 0.3780)  1 Hg 3.04
Pd (0.5000, 0.0000, 0.0000)  2 Hg 2.57
Pd (0.0000, 0.5000, 0.0000)  2 Hg 2.57
Hg (0.0000, 0.0000, 0.0000)  4 Pd 2.57

Record 8
Below is an optimized crystal structure of ZrHg2BiPd, with properties calculated at the PBE-GGA level.

Calculated values
ΔE_f (kJ/mol of formula units): 226

a = 5.1008 Å, b = 5.2862 Å, c = 5.1008 Å
α = 90.00°, β = 90.00°, γ = 90.00°
With the nearest neighbours (Å) after each atom.
Fractional positions:
Hg (0.0000, 0.0000, 0.5000)  2 Pd 2.55
Hg (0.5000, 0.0000, 0.0000)  2 Pd 2.55
Zr (0.5000, 0.5000, 0.5000)  4 Bi 3.61, 8 Hg 3.67
Pd (0.0000, 0.0000, 0.0000)  4 Hg 2.55, 2 Bi 2.64
Bi (0.0000, 0.5000, 0.0000)  2 Pd 2.64

Record 9
Below is an optimized crystal structure of ZrHg2BiPd, with properties calculated at the PBE-GGA level.

Calculated values
ΔE_f (kJ/mol of formula units): 357

a = 5.5250 Å, b = 5.5918 Å, c = 5.5250 Å
α = 90.00°, β = 90.00°, γ = 90.00°
With the nearest neighbours (Å) after each atom.
Fractional positions:
Zr (0.0000, 0.0000, 0.0000)  4 Hg 2.76, 2 Bi 2.80
Bi (0.0000, 0.5000, 0.0000)  2 Zr 2.80
Pd (0.5000, 0.5000, 0.5000)  4 Bi 3.91, 8 Hg 3.93
Hg (0.0000, 0.0000, 0.5000)  2 Zr 2.76
Hg (0.5000, 0.0000, 0.0000)  2 Zr 2.76

Record 10
Below is an optimized crystal structure of PmHg2Bi, with properties calculated at the PBE-GGA level.

Calculated values
ΔE_f (kJ/mol of formula units): -179

a = 5.0885 Å, b = 4.6158 Å, c = 4.6158 Å
α = 90.00°, β = 90.00°, γ = 90.00°
With the nearest neighbours (Å) after each atom.
Fractional positions:
Hg (0.0000, 0.5000, 0.0000)  4 Hg 3.26, 4 Bi 3.44, 4 Pm 3.44
Hg (0.0000, 0.0000, 0.5000)  4 Hg 3.26, 4 Pm 3.44, 4 Bi 3.44
Pm (0.5000, 0.5000, 0.5000)  4 Bi 3.26, 8 Hg 3.44
Bi (0.5000, 0.0000, 0.0000)  4 Pm 3.26, 8 Hg 3.44

Record 11
Below is an optimized crystal structure of PmHgBi, with properties calculated at the PBE-GGA level.

Calculated values
ΔE_f (kJ/mol of formula units): -159

a = 4.5458 Å, b = 4.5458 Å, c = 8.8249 Å
α = 90.00°, β = 90.00°, γ = 90.00°
With the nearest neighbours (Å) after each atom.
Fractional positions:
Pm (0.0000, 0.5000, 0.6905)  5 Bi 3.22-3.23, 4 Hg 3.55
Pm (0.5000, 0.0000, 0.3095)  5 Bi 3.22-3.23, 4 Hg 3.55
Hg (0.0000, 0.0000, 0.0000)  4 Hg 3.21, 4 Pm 3.55
Hg (0.5000, 0.5000, 0.0000)  4 Hg 3.21, 4 Pm 3.55
Bi (0.0000, 0.5000, 0.3251)  5 Pm 3.22-3.23
Bi (0.5000, 0.0000, 0.6749)  5 Pm 3.22-3.23

no.,E_tot (eV per atom)
1,-3.98
2,-3.55
3,-4.47
4,-3.77
5,-3.97
6,-2.78
7,-3.26
8,-3.18
9,-2.91
10,-2.77
11,-3.53